The following is a DFT calculation (PBE-GGA) of a geometry-optimized Ag3Br structure.

Computed properties:
- Total moment: 0.0 μB/f.u.
- Density of states at the Fermi level: 0.10 states/eV/atom
- Volume: 20.59 Å³/atom
- Space-group type: No. 225
- Formation energy without anion corrections: 223 meV per atom

Lattice parameters (Å, degrees): 4.884 4.884 4.884 60.00 60.00 60.00
Fractional positions:
Ag: 0.500 0.500 0.500
Ag: 0.250 0.250 0.250
Ag: 0.000 0.000 0.000
Br: 0.750 0.750 0.750

***

The following is a DFT calculation (PBE-GGA) of a geometry-optimized TaGeAs2 structure.

Computed properties:
- Total moment: 0.7 μB/f.u.
- Density of states at the Fermi level: 0.94 states/eV/atom
- Volume: 25.83 Å³/atom
- Space-group type: No. 122
- E_form: 111 kJ/mol of formula units

Lattice parameters (Å, degrees): 5.999 5.999 7.139 65.15 65.15 90.00
Fractional positions:
As: 0.637 0.125 0.250
As: 0.113 0.625 0.250
As: 0.875 0.887 0.750
As: 0.375 0.363 0.750
Ta: 0.000 0.000 0.000
Ta: 0.750 0.250 0.500
Ge: 0.500 0.500 0.000
Ge: 0.250 0.750 0.500